[1]
This record from Alexandria describes a crystal of TlAsIr2 relaxed with PBEsol. The functional is meta-GGA SCAN.

The calculated total energy is -58.085 eV/atom. For the total magnetic moment, the calculation gives 0.0000 μB/atom. The value obtained for the formation energy is 601.6 meV per atom. The energy above the most stable polymorph in this dataset is 0.2978 eV/atom.

abc: 3.027 5.272 5.272
angles: 60.59 73.32 73.32
Atoms (fractional coordinates):
Tl1 0.500 0.000 0.000
Ir1 0.280 0.720 0.720
Ir2 0.720 0.280 0.280
As1 0.000 0.500 0.500

[2]
This record from Alexandria describes a crystal of YZnPt2 relaxed with PBEsol. The functional is meta-GGA SCAN.

The calculated total energy is -46.155 eV/atom. For the total magnetic moment, the calculation gives 0.0000 μB/atom. The value obtained for the formation energy is -718.7 meV per atom.

abc: 4.610 4.610 4.610
angles: 60.00 60.00 60.00
Atoms (fractional coordinates):
Zn1 0.250 0.250 0.250
Y1 0.500 0.500 0.500
Pt1 0.750 0.750 0.750
Pt2 0.000 0.000 0.000

[3]
This record from Alexandria describes a crystal of ZnInO2F relaxed with PBEsol. The functional is meta-GGA SCAN.

The uncorrected formation energy comes out at -1059 meV/atom. The calculated total energy is -13.640 eV/atom. For the total magnetic moment, the calculation gives 0.0000 μB/atom.

abc: 4.076 4.119 4.119
angles: 90.00 90.00 90.00
Atoms (fractional coordinates):
In1 0.000 0.000 0.000
O1 0.000 0.000 0.500
O2 0.000 0.500 0.000
F1 0.500 0.000 0.000
Zn1 0.500 0.500 0.500

[4]
This record from Alexandria describes a crystal of KNaLiI2 relaxed with PBEsol. The functional is meta-GGA SCAN.

The uncorrected formation energy comes out at -703 meV/atom. The calculated total energy is -18.386 eV/atom. For the total magnetic moment, the calculation gives 0.0001 μB/atom.

abc: 5.593 5.593 5.994
angles: 90.00 90.00 90.00
Atoms (fractional coordinates):
I1 0.500 0.000 0.000
Li1 0.000 0.000 0.000
K1 0.000 0.000 0.500
I2 0.000 0.500 0.000
Na1 0.500 0.500 0.500

[5]
This record from Alexandria describes a crystal of Cr4OsPt relaxed with PBEsol. The functional is meta-GGA SCAN.

The calculated total energy is -36.022 eV/atom. For the total magnetic moment, the calculation gives 0.0000 μB/atom. The value obtained for the formation energy is -86.9 meV per atom.

abc: 4.682 4.682 4.682
angles: 60.00 60.00 60.00
Atoms (fractional coordinates):
Os1 0.750 0.750 0.750
Pt1 0.000 0.000 0.000
Cr1 0.373 0.373 0.373
Cr2 0.373 0.373 0.880
Cr3 0.880 0.373 0.373
Cr4 0.373 0.880 0.373

[6]
This record from Alexandria describes a crystal of ReSe3 relaxed with PBEsol. The functional is meta-GGA SCAN.

The uncorrected formation energy comes out at 226 meV/atom. The calculated total energy is -32.607 eV/atom. For the total magnetic moment, the calculation gives 0.0000 μB/atom. The energy above the most stable polymorph in this dataset is 0.0000 eV/atom.

abc: 3.073 3.073 9.643
angles: 80.83 80.83 60.00
Atoms (fractional coordinates):
Re1 0.000 0.000 0.000
Se1 0.730 0.730 0.810
Se2 0.270 0.270 0.190
Se3 0.500 0.500 0.500

[7]
This record from Alexandria describes a crystal of NaSr2Te2 relaxed with PBEsol. The functional is meta-GGA SCAN.

The uncorrected formation energy comes out at -1077 meV/atom. The calculated total energy is -25.731 eV/atom. For the total magnetic moment, the calculation gives 0.1445 μB/atom.

abc: 6.129 6.129 7.427
angles: 114.37 114.37 90.00
Site moments in Bohr magnetons follow the coordinates.
Atoms (fractional coordinates):
Sr1 0.321 0.321 0.642  0.05
Te1 0.750 0.250 0.500  0.01
Te2 0.250 0.750 0.500  0.01
Sr2 0.679 0.679 0.358  0.05
Na1 0.000 0.000 0.000  0.00

[8]
This record from Alexandria describes a crystal of Fe2CoP relaxed with PBEsol. The functional is meta-GGA SCAN.

The calculated total energy is -16.082 eV/atom. For the total magnetic moment, the calculation gives 1.2929 μB/atom. The value obtained for the formation energy is -91.6 meV per atom.

abc: 2.632 3.911 4.622
angles: 115.03 106.54 90.00
Site moments in Bohr magnetons follow the coordinates.
Atoms (fractional coordinates):
Fe1 0.999 0.999 0.998  2.05
P1 0.501 0.501 0.003  -0.08
Co1 0.221 0.721 0.443  1.18
Fe2 0.778 0.278 0.556  2.21

[9]
This record from Alexandria describes a crystal of NaSnHg2Pb relaxed with PBEsol. The functional is meta-GGA SCAN.

The calculated total energy is -50.025 eV/atom. For the total magnetic moment, the calculation gives 0.0000 μB/atom. The value obtained for the formation energy is 425.1 meV per atom.

abc: 5.546 5.546 5.561
angles: 90.00 90.00 90.00
Atoms (fractional coordinates):
Pb1 0.000 0.000 0.000
Sn1 0.500 0.500 0.500
Hg1 0.500 0.000 0.000
Hg2 0.000 0.500 0.000
Na1 0.000 0.000 0.500

[10]
This record from Alexandria describes a crystal of LaNiPt relaxed with PBEsol. The functional is meta-GGA SCAN.

The calculated total energy is -43.113 eV/atom. For the total magnetic moment, the calculation gives 0.0002 μB/atom. The value obtained for the formation energy is 43.7 meV per atom.

abc: 4.590 4.590 4.590
angles: 60.00 60.00 60.00
Atoms (fractional coordinates):
La1 0.250 0.250 0.250
Pt1 0.500 0.500 0.500
Ni1 0.000 0.000 0.000

[11]
This record from Alexandria describes a crystal of Ba3CdIr relaxed with PBEsol. The functional is meta-GGA SCAN.

The calculated total energy is -43.186 eV/atom. For the total magnetic moment, the calculation gives 0.1440 μB/atom. The value obtained for the formation energy is 846.6 meV per atom.

abc: 6.121 6.121 6.121
angles: 90.00 90.00 90.00
Site moments in Bohr magnetons follow the coordinates.
Atoms (fractional coordinates):
Ir1 0.500 0.500 0.500  0.95
Ba1 0.000 0.000 0.500  -0.02
Ba2 0.500 0.000 0.000  -0.02
Ba3 0.000 0.500 0.000  -0.02
Cd1 0.000 0.000 0.000  0.02

[12]
This record from Alexandria describes a crystal of Be2AlRe relaxed with PBEsol. The functional is meta-GGA SCAN.

The calculated total energy is -21.673 eV/atom. For the total magnetic moment, the calculation gives 0.0031 μB/atom. The value obtained for the formation energy is 216.1 meV per atom.

abc: 2.600 2.600 7.566
angles: 90.00 90.00 108.71
Atoms (fractional coordinates):
Al1 0.500 0.500 0.236
Re1 0.000 0.000 0.520
Be1 0.500 0.500 0.764
Be2 0.000 0.000 0.980

[13]
This record from Alexandria describes a crystal of NaTcTeI2 relaxed with PBEsol. The functional is meta-GGA SCAN.

The uncorrected formation energy comes out at 780 meV/atom. The calculated total energy is -29.221 eV/atom. For the total magnetic moment, the calculation gives 0.8000 μB/atom.

abc: 5.499 5.499 5.631
angles: 90.00 90.00 90.00
Site moments in Bohr magnetons follow the coordinates.
Atoms (fractional coordinates):
Tc1 0.500 0.500 0.500  4.46
I1 0.000 0.500 0.000  -0.06
I2 0.500 0.000 0.000  -0.06
Na1 0.000 0.000 0.000  -0.01
Te1 0.000 0.000 0.500  -0.49

[14]
This record from Alexandria describes a crystal of Cs2Pd3Se4 relaxed with PBEsol. The functional is meta-GGA SCAN.

The uncorrected formation energy comes out at -867 meV/atom. The calculated total energy is -29.118 eV/atom. For the total magnetic moment, the calculation gives 0.0000 μB/atom.

abc: 6.408 6.408 7.760
angles: 102.19 102.19 119.25
Atoms (fractional coordinates):
Se1 0.282 0.946 0.228
Se2 0.946 0.282 0.228
Pd1 0.500 0.000 0.000
Se3 0.718 0.054 0.772
Cs1 0.653 0.653 0.305
Pd2 0.000 0.500 0.000
Pd3 0.000 0.000 0.000
Se4 0.054 0.718 0.772
Cs2 0.347 0.347 0.695

[15]
This record from Alexandria describes a crystal of MoAs2Au relaxed with PBEsol. The functional is meta-GGA SCAN.

The calculated total energy is -35.686 eV/atom. For the total magnetic moment, the calculation gives 0.0001 μB/atom. The value obtained for the formation energy is 420.2 meV per atom.

abc: 3.066 5.082 5.229
angles: 118.73 106.53 91.02
Atoms (fractional coordinates):
As1 0.500 0.500 0.500
Mo1 0.000 0.500 0.000
As2 0.000 0.000 0.500
Au1 0.500 0.000 0.000

[16]
This record from Alexandria describes a crystal of AlInI2N relaxed with PBEsol. The functional is meta-GGA SCAN.

The uncorrected formation energy comes out at 559 meV/atom. The calculated total energy is -24.223 eV/atom. For the total magnetic moment, the calculation gives 0.2018 μB/atom.

abc: 4.023 6.002 6.002
angles: 90.00 90.00 90.00
Site moments in Bohr magnetons follow the coordinates.
Atoms (fractional coordinates):
I1 0.000 0.500 0.000  0.04
Al1 0.500 0.500 0.500  0.00
I2 0.000 0.000 0.500  0.04
In1 0.000 0.000 0.000  -0.07
N1 0.500 0.000 0.000  0.70

[17]
This record from Alexandria describes a crystal of TmNiO3 relaxed with PBEsol. The functional is meta-GGA SCAN.

The uncorrected formation energy comes out at -2657 meV/atom. The calculated total energy is -19.997 eV/atom. For the total magnetic moment, the calculation gives 0.2000 μB/atom.

abc: 5.052 5.501 7.200
angles: 90.00 90.00 90.00
Site moments in Bohr magnetons follow the coordinates.
Atoms (fractional coordinates):
O1 0.109 0.467 0.750  -0.01
O2 0.811 0.806 0.552  0.00
O3 0.689 0.306 0.552  0.00
Ni1 0.500 0.000 0.000  0.99
O4 0.311 0.694 0.448  0.00
O5 0.189 0.194 0.448  0.00
O6 0.189 0.194 0.052  0.00
O7 0.311 0.694 0.052  0.00
Tm1 0.476 0.417 0.250  0.01
Tm2 0.976 0.083 0.750  0.01
O8 0.609 0.033 0.250  -0.01
Tm3 0.524 0.583 0.750  0.01
O9 0.891 0.533 0.250  -0.01
Tm4 0.024 0.917 0.250  0.01
Ni2 0.000 0.500 0.000  0.99
Ni3 0.500 0.000 0.500  0.99
O10 0.811 0.806 0.948  0.00
Ni4 0.000 0.500 0.500  0.99
O11 0.689 0.306 0.948  0.00
O12 0.391 0.967 0.750  -0.01

[18]
This record from Alexandria describes a crystal of Ba3V4P6O24 relaxed with PBEsol. The functional is meta-GGA SCAN.

The uncorrected formation energy comes out at -2826 meV/atom. The calculated total energy is -13.651 eV/atom. For the total magnetic moment, the calculation gives 0.2162 μB/atom.

abc: 9.872 9.905 9.894
angles: 90.00 90.00 89.91
Site moments in Bohr magnetons follow the coordinates.
Atoms (fractional coordinates):
V1 0.590 0.662 0.914  1.85
O1 0.749 0.559 0.587  0.02
O2 0.809 0.848 0.253  -0.01
P1 0.875 0.473 0.957  0.01
Ba1 0.293 0.954 0.201  0.00
V2 0.082 0.836 0.589  1.85
O3 0.914 0.482 0.807  -0.01
O4 0.721 0.060 0.428  -0.01
O5 0.470 0.491 0.302  0.01
P2 0.543 0.375 0.726  0.01
O6 0.530 0.509 0.802  0.01
O7 0.086 0.518 0.307  -0.01
V3 0.643 0.893 0.352  1.88
O8 0.801 0.219 0.240  -0.01
V4 0.146 0.602 0.143  1.83
O9 0.463 0.946 0.439  0.00
O10 0.455 0.271 0.800  0.00
O11 0.199 0.781 0.740  -0.01
O12 0.078 0.260 0.149  0.00
O13 0.298 0.258 0.265  0.00
O14 0.352 0.173 0.504  0.00
Ba2 0.428 0.667 0.574  0.00
P3 0.229 0.293 0.127  0.01
P4 0.457 0.625 0.226  0.01
O15 0.578 0.256 0.345  0.00
P5 0.723 0.208 0.374  0.01
O16 0.009 0.100 0.927  -0.01
O17 0.690 0.319 0.732  -0.01
V5 0.410 0.338 0.414  1.85
O18 0.251 0.441 0.087  0.02
O19 0.000 0.981 0.709  0.01
O20 0.698 0.804 0.528  0.01
O21 0.200 0.711 0.981  -0.01
O22 0.500 0.598 0.079  0.00
O23 0.537 0.054 0.939  0.00
P6 0.277 0.792 0.874  0.01
O24 0.991 0.900 0.427  -0.01
V6 0.918 0.164 0.089  1.85
P7 0.630 0.977 0.039  0.01
O25 0.000 0.019 0.209  0.01
O26 0.845 0.327 0.000  0.02
P8 0.771 0.707 0.627  0.01
P9 0.041 0.119 0.776  0.01
O27 0.015 0.455 0.539  0.00
O28 0.985 0.545 0.039  0.00
P10 0.370 0.023 0.539  0.01
O29 0.051 0.779 0.201  0.01
O30 0.257 0.445 0.482  0.00
O31 0.302 0.196 0.028  0.01
O32 0.949 0.221 0.701  0.01
V7 0.357 0.107 0.852  1.88
Ba3 0.070 0.198 0.436  0.00
O33 0.772 0.041 0.018  0.00
O34 0.922 0.740 0.649  0.00
O35 0.572 0.993 0.184  0.01
Ba4 0.572 0.333 0.074  0.00
O36 0.228 0.959 0.518  0.00
O37 0.800 0.289 0.481  -0.01
P11 0.959 0.881 0.276  0.01
O38 0.500 0.402 0.579  0.00
Ba5 0.707 0.046 0.701  0.00
O39 0.310 0.681 0.232  -0.01
O40 0.191 0.152 0.753  -0.01
O41 0.648 0.827 0.004  0.00
Ba6 0.930 0.802 0.936  0.00
O42 0.545 0.729 0.300  0.00
O43 0.155 0.673 0.500  0.02
O44 0.702 0.742 0.765  0.00
O45 0.422 0.744 0.845  0.00
P12 0.125 0.527 0.457  0.01
O46 0.428 0.007 0.684  0.01
O47 0.279 0.940 0.928  -0.01
V8 0.854 0.398 0.643  1.83
O48 0.743 0.555 0.982  0.00

[19]
This record from Alexandria describes a crystal of AlSn3S relaxed with PBEsol. The functional is meta-GGA SCAN.

The uncorrected formation energy comes out at 576 meV/atom. The calculated total energy is -24.452 eV/atom. For the total magnetic moment, the calculation gives 0.0000 μB/atom. The energy above the most stable polymorph in this dataset is 0.0000 eV/atom.

abc: 5.215 5.215 5.215
angles: 90.00 90.00 90.00
Atoms (fractional coordinates):
Sn1 0.000 0.000 0.500
Al1 0.500 0.500 0.500
S1 0.000 0.000 0.000
Sn2 0.000 0.500 0.000
Sn3 0.500 0.000 0.000

[20]
This record from Alexandria describes a crystal of LiIn2P relaxed with PBEsol. The functional is meta-GGA SCAN.

The calculated total energy is -20.050 eV/atom. For the total magnetic moment, the calculation gives 0.0000 μB/atom. The value obtained for the formation energy is -159.3 meV per atom.

abc: 3.471 4.213 6.380
angles: 109.28 105.78 90.00
Atoms (fractional coordinates):
P1 0.000 0.500 0.000
Li1 0.500 0.000 0.000
In1 0.316 0.316 0.632
In2 0.684 0.684 0.368

[21]
This record from Alexandria describes a crystal of InCu2Br relaxed with PBEsol. The functional is meta-GGA SCAN.

The uncorrected formation energy comes out at 583 meV/atom. The calculated total energy is -20.228 eV/atom. For the total magnetic moment, the calculation gives 0.0000 μB/atom. The energy above the most stable polymorph in this dataset is 0.4731 eV/atom.

abc: 4.697 4.697 4.697
angles: 60.00 60.00 60.00
Atoms (fractional coordinates):
Br1 0.000 0.000 0.000
Cu1 0.250 0.250 0.250
Cu2 0.750 0.750 0.750
In1 0.500 0.500 0.500

[22]
This record from Alexandria describes a crystal of CaSe2Cl relaxed with PBEsol. The functional is meta-GGA SCAN.

The uncorrected formation energy comes out at -1317 meV/atom. The calculated total energy is -15.766 eV/atom. For the total magnetic moment, the calculation gives 0.0000 μB/atom. The energy above the most stable polymorph in this dataset is 0.0435 eV/atom.

abc: 4.210 4.210 11.692
angles: 100.37 100.37 90.00
Atoms (fractional coordinates):
Cl1 0.500 0.500 0.000
Se1 0.977 0.375 0.250
Ca1 0.000 0.000 0.000
Se2 0.625 0.727 0.750
Se3 0.273 0.875 0.250
Cl2 0.750 0.250 0.500
Ca2 0.250 0.750 0.500
Se4 0.125 0.023 0.750

[23]
This record from Alexandria describes a crystal of BeAl2CdBi relaxed with PBEsol. The functional is meta-GGA SCAN.

The calculated total energy is -24.336 eV/atom. For the total magnetic moment, the calculation gives 0.0000 μB/atom. The value obtained for the formation energy is 1434.5 meV per atom.

abc: 5.545 5.545 5.592
angles: 90.00 90.00 90.00
Atoms (fractional coordinates):
Bi1 0.000 0.000 0.000
Al1 0.500 0.000 0.000
Cd1 0.000 0.000 0.500
Be1 0.500 0.500 0.500
Al2 0.000 0.500 0.000

[24]
This record from Alexandria describes a crystal of Ca2ZrPt relaxed with PBEsol. The functional is meta-GGA SCAN.

The calculated total energy is -30.274 eV/atom. For the total magnetic moment, the calculation gives 0.0000 μB/atom. The value obtained for the formation energy is -219.7 meV per atom.

abc: 4.977 4.977 4.977
angles: 60.00 60.00 60.00
Atoms (fractional coordinates):
Ca1 0.000 0.000 0.000
Ca2 0.250 0.250 0.250
Zr1 0.750 0.750 0.750
Pt1 0.500 0.500 0.500